4
Lattice="-0.7401 2.4803 -4.5701 -3.7138 -0.0968 -3.7126 -2.5840 3.0849 0.3102" Properties=species:S:1:pos:R:3 comment="PBE Ta2SbPt, optimized geometry" crystal_system=tetragonal e_form_raw_ev_per_atom=-0.23 vol_a3_per_atom=17.9 energy_ev_per_atom=-8.695 pbc="T T T"
Ta -2.5840 3.0848 0.3101
Ta -3.5190 2.7342 -3.9862
Sb -1.7595 1.3671 -1.9931
Pt -5.2784 4.1013 -5.9794